A plane-wave DFT calculation with PBE was carried out for a relaxed structure of AlSe2.

Lattice parameters (Å, degrees): 5.802 5.802 5.802 60.00 60.00 60.00
Fractional coordinates of all 6 atoms:
Al1 0.125 0.125 0.125
Al2 0.875 0.875 0.875
Se1 0.000 0.500 0.500
Se2 0.500 0.000 0.500
Se3 0.500 0.500 0.000
Se4 0.500 0.500 0.500

* symmetry: No. 227
* N(E_F): 0.8 states/eV per cell
* E: -18.656 eV/cell